Version w
# Cd2Sn2Pb7 | Alexandria | PBE-GGA | relaxed
data_Cd2Sn2Pb7
_chemical_formula_sum 'Cd4 Sn4 Pb14'
_cell_length_a 6.655
_cell_length_b 11.219
_cell_length_c 9.157
_cell_angle_alpha 90.00
_cell_angle_beta 92.00
_cell_angle_gamma 90.00
_space_group_name_H-M_alt 'C 1 2/m 1'
_space_group_IT_number 12
loop_
_space_group_symop_operation_xyz
'x,y,z'
'-x,-y,-z'
'-x,y,-z'
'x,-y,z'
'x+1/2,y+1/2,z'
'-x+1/2,-y+1/2,-z'
'-x+1/2,y+1/2,-z'
'x+1/2,-y+1/2,z'
loop_
_atom_site_label
_atom_site_fract_x
_atom_site_fract_y
_atom_site_fract_z
Cd1 0.049 0.000 0.163
Sn1 0.000 0.253 0.500
Pb1 0.000 0.500 0.000
Pb2 0.249 0.500 0.429
Pb3 0.250 0.244 0.820
# crystal system = monoclinic
# density = 9.30 g/cm³
# N(E_F) = 9.20 states/eV/cell



Version x
# Cd2Sn2Pb7 | Alexandria | PBE-GGA | relaxed
data_Cd2Sn2Pb7
_chemical_formula_sum 'Cd4 Sn4 Pb14'
_cell_length_a 9.054
_cell_length_b 9.607
_cell_length_c 7.967
_cell_angle_alpha 90.00
_cell_angle_beta 106.05
_cell_angle_gamma 90.00
_space_group_name_H-M_alt 'C 1 2/m 1'
_space_group_IT_number 12
loop_
_space_group_symop_operation_xyz
'x,y,z'
'-x,-y,-z'
'-x,y,-z'
'x,-y,z'
'x+1/2,y+1/2,z'
'-x+1/2,-y+1/2,-z'
'-x+1/2,y+1/2,-z'
'x+1/2,-y+1/2,z'
loop_
_atom_site_label
_atom_site_fract_x
_atom_site_fract_y
_atom_site_fract_z
Cd1 0.000 0.210 0.000
Sn1 0.108 0.000 0.315
Pb1 0.000 0.500 0.500
Pb2 0.172 0.500 0.945
Pb3 0.182 0.196 0.679
# crystal system = monoclinic
# density = 9.54 g/cm³
# N(E_F) = 12.17 states/eV/cell



What is the least stable structure shown above? It is version w.